#w
# CsNaSr2Pd

CsNaSr2Pd after structural relaxation (GGA-PBE, Alexandria).

## Properties
As for the density of states at the Fermi level: 0.75 states/eV per atom.

Cell: 6.033 6.033 6.949 Å, 90.00 90.00 90.00°
Sites, in units of the cell vectors:
Cs 0.000 0.000 0.000
Na 0.500 0.500 0.000
Sr 0.000 0.500 0.500
Sr 0.500 0.000 0.500
Pd 0.000 0.000 0.500


#x
# CsNaSr2Pd

CsNaSr2Pd after structural relaxation (GGA-PBE, Alexandria).

## Properties
As for the density of states at the Fermi level: 0.61 states/eV per atom.

Cell: 6.010 6.010 6.505 Å, 90.00 90.00 90.00°
Sites, in units of the cell vectors:
Cs 0.000 0.000 0.000
Na 0.500 0.500 0.000
Sr 0.000 0.500 0.500
Sr 0.500 0.000 0.500
Pd 0.500 0.500 0.500


It is #x that is the most stable of them.


#w
# CsNa2TlPd

CsNa2TlPd after structural relaxation (GGA-PBE, Alexandria).

## Properties
As for the density of states at the Fermi level: 0.48 states/eV per atom.

Cell: 5.818 5.818 5.354 Å, 90.00 90.00 90.00°
Sites, in units of the cell vectors:
Cs 0.000 0.000 0.000
Na 0.000 0.500 0.500
Na 0.500 0.000 0.500
Tl 0.500 0.500 0.000
Pd 0.500 0.500 0.500


#x
# CsNa2TlPd

CsNa2TlPd after structural relaxation (GGA-PBE, Alexandria).

## Properties
As for the density of states at the Fermi level: 0.71 states/eV per atom.

Cell: 5.958 5.958 5.362 Å, 90.00 90.00 90.00°
Sites, in units of the cell vectors:
Cs 0.000 0.000 0.000
Na 0.000 0.500 0.500
Na 0.500 0.000 0.500
Tl 0.500 0.500 0.500
Pd 0.500 0.500 0.000


It is #w that is the most stable of them.


#w
# CsNaPt

CsNaPt after structural relaxation (GGA-PBE, Alexandria).

Cell: 4.924 4.924 4.969 Å, 90.00 90.00 120.00°
Sites, in units of the cell vectors:
Cs 0.000 0.000 0.000
Na 0.333 0.667 0.500
Pt 0.667 0.333 0.500


#x
# CsNaPt

CsNaPt after structural relaxation (GGA-PBE, Alexandria).

## Properties
As for the density of states at the Fermi level: 1.35 states/eV per atom.

Cell: 4.424 4.424 15.887 Å, 90.01 90.01 60.00°
Sites, in units of the cell vectors:
Cs 0.000 0.000 0.000
Cs 0.000 0.000 0.312
Na 0.336 0.336 0.572
Na 0.669 0.669 0.740
Pt 0.333 0.333 0.156
Pt 0.667 0.667 0.156


#y
# CsNaPt

CsNaPt after structural relaxation (GGA-PBE, Alexandria).

## Properties
As for the density of states at the Fermi level: 0.38 states/eV per atom.

Cell: 13.187 12.619 5.849 Å, 82.39 71.53 26.08°
Sites, in units of the cell vectors:
Cs 0.050 0.700 0.050
Cs 0.300 0.950 0.300
Cs 0.700 0.050 0.700
Cs 0.950 0.300 0.950
Na 0.272 0.272 0.478
Na 0.478 0.478 0.272
Na 0.522 0.522 0.728
Na 0.728 0.728 0.522
Pt 0.002 0.002 0.248
Pt 0.248 0.248 0.002
Pt 0.752 0.752 0.998
Pt 0.998 0.998 0.752


It is #x that is the most stable of them.


#w
# CsNaPt3

CsNaPt3 after structural relaxation (GGA-PBE, Alexandria).

## Properties
As for the density of states at the Fermi level: 1.20 states/eV per atom.

Cell: 5.325 5.325 5.325 Å, 90.00 90.00 90.00°
Sites, in units of the cell vectors:
Cs 0.000 0.000 0.000
Na 0.500 0.500 0.500
Pt 0.000 0.000 0.500
Pt 0.000 0.500 0.000
Pt 0.500 0.000 0.000


#x
# CsNaPt3

CsNaPt3 after structural relaxation (GGA-PBE, Alexandria).

## Properties
As for the density of states at the Fermi level: 1.01 states/eV per atom.

Cell: 5.024 5.024 5.024 Å, 90.00 90.00 90.00°
Sites, in units of the cell vectors:
Cs 0.000 0.000 0.000
Na 0.500 0.500 0.500
Pt 0.000 0.500 0.500
Pt 0.500 0.000 0.500
Pt 0.500 0.500 0.000


It is #x that is the most stable of them.


#w
# CsRb2NaPt

CsRb2NaPt after structural relaxation (GGA-PBE, Alexandria).

## Properties
As for the density of states at the Fermi level: 0.05 states/eV per atom.

Cell: 6.599 6.599 6.762 Å, 90.00 90.00 90.00°
Sites, in units of the cell vectors:
Cs 0.000 0.000 0.000
Rb 0.000 0.500 0.500
Rb 0.500 0.000 0.500
Na 0.500 0.500 0.000
Pt 0.000 0.000 0.500


#x
# CsRb2NaPt

CsRb2NaPt after structural relaxation (GGA-PBE, Alexandria).

## Properties
As for the density of states at the Fermi level: 0.30 states/eV per atom.

Cell: 6.657 6.657 5.972 Å, 90.00 90.00 90.00°
Sites, in units of the cell vectors:
Cs 0.000 0.000 0.000
Rb 0.000 0.500 0.500
Rb 0.500 0.000 0.500
Na 0.500 0.500 0.000
Pt 0.500 0.500 0.500


It is #w that is the most stable of them.


#w
# Cs2RbNaPt

Cs2RbNaPt after structural relaxation (GGA-PBE, Alexandria).

Cell: 6.791 6.791 6.614 Å, 90.00 90.00 90.00°
Sites, in units of the cell vectors:
Cs 0.000 0.500 0.000
Cs 0.500 0.000 0.000
Rb 0.000 0.000 0.500
Na 0.500 0.500 0.500
Pt 0.000 0.000 0.000


#x
# Cs2RbNaPt

Cs2RbNaPt after structural relaxation (GGA-PBE, Alexandria).

## Properties
As for the density of states at the Fermi level: 0.28 states/eV per atom.

Cell: 6.891 6.891 5.928 Å, 90.00 90.00 90.00°
Sites, in units of the cell vectors:
Cs 0.000 0.500 0.000
Cs 0.500 0.000 0.000
Rb 0.000 0.000 0.500
Na 0.500 0.500 0.500
Pt 0.500 0.500 0.000


It is #w that is the most stable of them.